Compound: Sc2Zn2InNi5
Source: the Alexandria database
Functional: PBE
Structure: relaxed Values from VASP.

Formation energy: -298 meV per atom

Structure (Quantum ESPRESSO input):
```
&SYSTEM
  ibrav = 0, nat = 20, ntyp = 4
/
ATOMIC_SPECIES
Zn 65.41 Zn.upf
Ni 58.69 Ni.upf
Sc 44.96 Sc.upf
In 114.82 In.upf
ATOMIC_POSITIONS angstrom
Zn 0.000 3.430 1.060
Zn 0.000 1.060 5.551
Zn 0.000 5.551 7.921
Zn 0.000 7.921 3.430
Ni 1.822 3.884 2.593
Ni 1.822 0.000 4.490
Ni 1.822 0.606 7.083
Ni 1.822 4.490 0.000
Ni 1.822 1.898 0.606
Ni 1.822 2.593 5.097
Ni 1.822 6.388 3.884
Ni 1.822 5.097 6.388
Ni 1.822 7.083 8.375
Ni 1.822 8.375 1.898
Sc 0.000 2.895 7.385
Sc 0.000 6.086 1.595
Sc 0.000 7.385 6.086
Sc 0.000 1.595 2.895
In 0.000 4.490 4.490
In 0.000 0.000 0.000
CELL_PARAMETERS angstrom
3.644 0.000 0.000
0.000 8.981 0.000
0.000 0.000 8.981
```